# SrFe3Br12

SrFe3Br12 after structural relaxation (PBE, the Alexandria database).

density of states at the Fermi level: 0.76 states/eV per atom
formation energy (no corrections): -11.584 eV/f.u.
calculated volume: 41.80 Å³ per atom
raw total energy: -3.671 eV per atom
magnetization: 14.0 μB/f.u.
space-group type: No. 161

The structure in POSCAR format:
```
SrFe3Br12
1.0
10.353 0.000 4.999
3.969 9.562 4.999
-0.106 -0.071 13.439
Sr Fe Br
2 6 24
direct
0.053 0.053 0.841 Sr
0.553 0.553 0.341 Sr
0.702 0.343 0.999 Fe
0.202 0.455 0.499 Fe
0.843 0.202 0.499 Fe
0.343 0.955 0.999 Fe
0.955 0.702 0.999 Fe
0.455 0.843 0.499 Fe
0.103 0.102 0.036 Br
0.227 0.249 0.651 Br
0.981 0.984 0.473 Br
0.873 0.392 0.830 Br
0.373 0.405 0.330 Br
0.481 0.061 0.973 Br
0.727 0.373 0.151 Br
0.984 0.561 0.473 Br
0.603 0.259 0.536 Br
0.873 0.227 0.651 Br
0.892 0.373 0.330 Br
0.259 0.602 0.536 Br
0.061 0.484 0.973 Br
0.759 0.103 0.036 Br
0.392 0.905 0.830 Br
0.373 0.749 0.151 Br
0.749 0.727 0.151 Br
0.484 0.481 0.973 Br
0.602 0.603 0.536 Br
0.905 0.873 0.830 Br
0.405 0.892 0.330 Br
0.102 0.759 0.036 Br
0.249 0.873 0.651 Br
0.561 0.981 0.473 Br
```

=====

# SrFeBr2

SrFeBr2 after structural relaxation (PBE, the Alexandria database).

polymorph energy (0 for the lowest one): 146 meV/atom
density of states at the Fermi level: 0.55 states/eV per atom
formation energy (no corrections): -1.933 eV/f.u.
calculated volume: 30.34 Å³ per atom
raw total energy: -3.856 eV per atom
magnetization: 3.9 μB/f.u.
space-group type: No. 8

The structure in POSCAR format:
```
SrFeBr2
1.0
-3.905 0.028 5.523
-0.655 -1.790 6.490
1.244 3.959 3.261
Br Fe Sr
2 1 1
direct
0.963 0.963 0.996 Br
0.738 0.738 0.711 Br
0.551 0.551 0.613 Fe
0.249 0.249 0.179 Sr
```

=====

# SrFe2Br7

SrFe2Br7 after structural relaxation (PBE, the Alexandria database).

density of states at the Fermi level: 0.62 states/eV per atom
formation energy (no corrections): -7.920 eV/f.u.
calculated volume: 42.24 Å³ per atom
raw total energy: -3.824 eV per atom
magnetization: 9.0 μB/f.u.
space-group type: No. 65

The structure in POSCAR format:
```
SrFe2Br7
1.0
-2.347 -3.915 -2.489
-1.303 -4.288 7.974
-7.511 5.128 -0.984
Sr Fe Br
1 2 7
direct
0.000 0.000 0.000 Sr
0.500 0.281 0.281 Fe
0.500 0.719 0.719 Fe
0.000 0.281 0.281 Br
0.000 0.719 0.719 Br
0.500 0.018 0.283 Br
0.500 0.982 0.717 Br
0.500 0.717 0.982 Br
0.500 0.283 0.018 Br
0.500 0.500 0.500 Br
```

=====

# SrFeBr2

SrFeBr2 after structural relaxation (PBE, the Alexandria database).

polymorph energy (0 for the lowest one): 84 meV/atom
density of states at the Fermi level: 0.85 states/eV per atom
formation energy (no corrections): -2.179 eV/f.u.
calculated volume: 25.69 Å³ per atom
raw total energy: -3.917 eV per atom
magnetization: 2.2 μB/f.u.
space-group type: No. 71

The structure in POSCAR format:
```
SrFeBr2
1.0
5.724 0.573 0.225
3.997 4.137 0.225
2.452 1.188 4.918
Br Fe Sr
2 1 1
direct
0.069 0.069 0.931 Br
0.431 0.431 0.569 Br
0.750 0.750 0.750 Fe
0.250 0.250 0.250 Sr
```

=====

Question: Among the records above, which one has the lowest magnetization?
Answer: number 4